Entry 1:
Density functional theory data (meta-GGA SCAN) for a crystal of CrSbTe2Cl relaxed with PBEsol.

POSCAR file:
```
CrSbTe2Cl
1.0
-3.582 -2.229 3.100
3.230 -4.044 0.824
2.044 2.476 4.142
Sb Te Cl Cr
1 2 1 1
Direct
0.500 0.000 0.000 Sb
0.000 0.000 0.500 Te
0.000 0.500 0.000 Te
0.000 0.000 0.000 Cl
0.500 0.500 0.500 Cr
```

Output
Size of the total moment (Bohr magnetons per cell): 3.75
Crystal system: tetragonal
Raw formation energy (eV/atom): 0.909
Space group: P4/mmm (123)


Entry 2:
Density functional theory data (meta-GGA SCAN) for a crystal of Sc2CrCl relaxed with PBEsol.

POSCAR file:
```
Sc2CrCl
1.0
-0.828 2.955 -0.626
-1.508 -0.967 -2.569
-6.180 -0.893 3.965
Sc Cr Cl
2 1 1
Direct
0.000 0.000 0.719 Sc
0.000 0.000 0.281 Sc
0.500 0.500 0.500 Cr
0.500 0.500 0.000 Cl
```

Output
Size of the total moment (Bohr magnetons per cell): 1.98
Crystal system: tetragonal
Raw formation energy (eV/atom): -0.496
Space group: P4/mmm (123)


> The highest raw formation energy belongs to which entry?

CrSbTe2Cl


> What is the size of the total moment in the second record?

1.98 Bohr magnetons per cell